First-principles (PBE) data for a relaxed structure of KSi2Pd2, as listed in Alexandria.

Properties
- ΔE to the lowest computed polymorph (meV/atom) = 257
- total moment (Bohr magnetons per cell) = 0.00
- formation energy from raw total energies (meV/atom) = -159
- SG = No. 127
- raw total energy (eV per cell) = -46.25

Cell lengths 7.941, 7.941, 2.767 Å; angles 90.00, 90.00, 90.00 degrees
Fractional positions:
K 0.000 0.000 0.000
K 0.500 0.500 0.000
Si 0.122 0.378 0.000
Si 0.378 0.878 0.000
Si 0.622 0.122 0.000
Si 0.878 0.622 0.000
Pd 0.159 0.659 0.500
Pd 0.341 0.159 0.500
Pd 0.659 0.841 0.500
Pd 0.841 0.341 0.500

---

First-principles (PBE) data for a relaxed structure of Tb12Dy6Ho, as listed in Alexandria.

Properties
- ΔE to the lowest computed polymorph (meV/atom) = 0
- formation energy (meV per atom) = 152
- total moment (Bohr magnetons per cell) = 0.00
- SG = No. 148
- raw total energy (eV per cell) = -84.86

Cell lengths 8.505, 8.505, 8.505 Å; angles 88.59, 88.59, 88.59 degrees
Fractional positions:
Tb 0.013 0.357 0.203
Tb 0.203 0.013 0.357
Tb 0.224 0.565 0.459
Tb 0.357 0.203 0.013
Tb 0.435 0.541 0.776
Tb 0.459 0.224 0.565
Tb 0.541 0.776 0.435
Tb 0.565 0.459 0.224
Tb 0.643 0.797 0.987
Tb 0.776 0.435 0.541
Tb 0.797 0.987 0.643
Tb 0.987 0.643 0.797
Dy 0.094 0.259 0.694
Dy 0.259 0.694 0.094
Dy 0.306 0.906 0.741
Dy 0.694 0.094 0.259
Dy 0.741 0.306 0.906
Dy 0.906 0.741 0.306
Ho 0.000 0.000 0.000

---

First-principles (PBE) data for a relaxed structure of Er2Cd2PRh4, as listed in Alexandria.

Properties
- formation energy (meV per atom) = -500
- total moment (Bohr magnetons per cell) = 0.00
- SG = No. 139
- raw total energy (eV per cell) = -50.28

Cell lengths 6.216, 6.216, 6.216 Å; angles 120.34, 120.34, 89.41 degrees
Fractional positions:
Er 0.202 0.202 0.000
Er 0.798 0.798 0.000
Cd 0.250 0.750 0.500
Cd 0.750 0.250 0.500
P 0.500 0.500 0.000
Rh 0.242 0.242 0.484
Rh 0.242 0.758 0.000
Rh 0.758 0.242 0.000
Rh 0.758 0.758 0.516

---

First-principles (PBE) data for a relaxed structure of AsRhSe2, as listed in Alexandria.

Properties
- total moment (Bohr magnetons per cell) = 0.00
- formation energy from raw total energies (meV/atom) = -172
- SG = No. 38
- raw total energy (eV per cell) = -39.32

Cell lengths 3.667, 4.950, 8.658 Å; angles 90.00, 90.00, 90.00 degrees
Fractional positions:
As 0.000 0.000 0.000
As 0.000 0.500 0.500
Rh 0.500 0.000 0.194
Rh 0.500 0.500 0.694
Se 0.000 0.000 0.395
Se 0.000 0.500 0.895
Se 0.500 0.000 0.731
Se 0.500 0.500 0.231